No. 1
## TbCeEr (PBE)

Data for a geometry-optimized TbCeEr structure.

Cell lengths 7.302, 7.302, 7.302 Å; angles 90.00, 90.00, 90.00 degrees
Space group P2_13 (No. 198)
Inequivalent atoms, fractional coordinates:
Tb1 0.043 0.043 0.043
Ce1 0.176 0.824 0.324
Er1 0.127 0.627 0.873

Properties
- Polymorph energy (0 for the lowest one): 647 meV per atom
- Formation energy from the elements: 0.711 eV/atom
- Density of states at the Fermi level: 6.85 states/eV/f.u.
- Total magnetization: 0.207 μB/atom



No. 2
## AlSiSe2 (PBE)

Data for a geometry-optimized AlSiSe2 structure.

Cell lengths 3.648, 3.648, 14.477 Å; angles 90.00, 90.00, 90.00 degrees
Space group I-4m2 (No. 119)
Inequivalent atoms, fractional coordinates:
Al1 0.000 0.000 0.000
Si1 0.000 0.500 0.250
Se1 0.000 0.000 0.500
Se2 0.000 0.500 0.750

Properties
- Polymorph energy (0 for the lowest one): 478 meV per atom
- Density of states at the Fermi level: 2.12 states/eV/f.u.
- E_form (uncorrected): 109.0 meV/atom
- Total magnetization: 0.000 μB/atom



No. 3
## SbAsCSe2 (PBE)

Data for a geometry-optimized SbAsCSe2 structure.

Cell lengths 5.294, 5.294, 5.452 Å; angles 90.00, 90.00, 90.00 degrees
Space group P4/mmm (No. 123)
Inequivalent atoms, fractional coordinates:
Sb1 0.000 0.000 0.000
As1 0.000 0.000 0.500
C1 0.500 0.500 0.500
Se1 0.000 0.500 0.000

Properties
- Polymorph energy (0 for the lowest one): 1057 meV per atom
- Density of states at the Fermi level: 6.42 states/eV/f.u.
- E_form (uncorrected): 2023.3 meV/atom
- Total magnetization: 0.021 μB/atom



No. 4
## Hf2InNi2 (PBE)

Data for a geometry-optimized Hf2InNi2 structure.

Cell lengths 7.168, 7.168, 6.624 Å; angles 90.00, 90.00, 90.00 degrees
Space group P4_2/mnm (No. 136)
Inequivalent atoms, fractional coordinates:
Hf1 0.156 0.156 0.000
Hf2 0.176 0.176 0.500
In1 0.000 0.500 0.250
Ni1 0.126 0.874 0.275

Properties
- Formation energy from the elements: -0.505 eV/atom
- Density of states at the Fermi level: 3.60 states/eV/f.u.
- Total magnetization: 0.000 μB/atom



No. 5
## Te2PbCl (PBE)

Data for a geometry-optimized Te2PbCl structure.

Cell lengths 3.480, 3.480, 9.287 Å; angles 90.00, 90.00, 90.00 degrees
Space group P4/mmm (No. 123)
Inequivalent atoms, fractional coordinates:
Te1 0.000 0.000 0.243
Pb1 0.500 0.500 0.500
Cl1 0.500 0.500 0.000

Properties
- Polymorph energy (0 for the lowest one): 445 meV per atom
- Density of states at the Fermi level: 3.02 states/eV/f.u.
- E_form (uncorrected): 48.0 meV/atom
- Total magnetization: 0.000 μB/atom



No. 6
## Y2GeC (PBE)

Data for a geometry-optimized Y2GeC structure.

Cell lengths 6.800, 6.800, 6.800 Å; angles 90.00, 90.00, 90.00 degrees
Space group Fm-3m (No. 225)
Inequivalent atoms, fractional coordinates:
Y1 0.250 0.250 0.250
Ge1 0.000 0.000 0.000
C1 0.000 0.000 0.500

Properties
- Formation energy from the elements: 0.256 eV/atom
- Density of states at the Fermi level: 4.03 states/eV/f.u.
- Total magnetization: 0.000 μB/atom